Below is a geometry-optimized SiBiSe2 structure, with properties calculated at the PBE level.

Its space group is Fm-3m. For the offset from the most stable computed form, the calculation gives 344 meV/atom. The calculation puts the formation energy without anion corrections at 0.84 eV/f.u. For the final energy, the calculation gives -3.8594 eV/atom.

Cell lengths 5.0431, 5.0431, 5.0431 Å; angles 60.00, 60.00, 60.00 degrees
Closest atoms and distances in Å follow each position.
Element x y z (fractional)
Si  0.0000  0.0000  0.0000  8 Se 3.09
Bi  0.5000  0.5000  0.5000  8 Se 3.09
Se  0.2500  0.2500  0.2500  4 Bi 3.09, 4 Si 3.09
Se  0.7500  0.7500  0.7500  4 Bi 3.09, 4 Si 3.09

=====

Below is a geometry-optimized SiBiSe3 structure, with properties calculated at the PBE level.

Its space group is Ima2. For the offset from the most stable computed form, the calculation gives 0 meV/atom. The calculation puts the formation energy without anion corrections at -0.62 eV/f.u. For the final energy, the calculation gives -4.0757 eV/atom.

Cell lengths 8.3828, 8.3828, 8.3828 Å; angles 129.52, 130.30, 73.55 degrees
Closest atoms and distances in Å follow each position.
Element x y z (fractional)
Si  0.1883  0.2500  0.4383  3 Se 2.22-2.30
Si  0.8117  0.7500  0.5617  3 Se 2.22-2.30
Bi  0.1793  0.6982  0.9811  2 Se 2.73, 1 Si 3.04
Bi  0.7171  0.1982  0.0189  2 Se 2.73, 1 Si 3.04
Se  0.2117  0.1091  0.6026  1 Si 2.22
Se  0.3537  0.1007  0.2515  1 Si 2.30
Se  0.3537  0.6022  0.7530  1 Si 2.30
Se  0.5065  0.6091  0.3974  1 Si 2.22
Se  0.8492  0.1022  0.7485  1 Si 2.30
Se  0.8492  0.6007  0.2470  1 Si 2.30

=====

Below is a geometry-optimized SiBiSe3 structure, with properties calculated at the PBE level.

Its space group is Pm-3m. For the offset from the most stable computed form, the calculation gives 230 meV/atom. The calculation puts the formation energy without anion corrections at 0.53 eV/f.u. For the final energy, the calculation gives -3.8462 eV/atom.

Cell lengths 4.8872, 4.8872, 4.8872 Å; angles 90.00, 90.00, 90.00 degrees
Closest atoms and distances in Å follow each position.
Element x y z (fractional)
Si  0.0000  0.0000  0.0000  6 Se 2.44
Bi  0.5000  0.5000  0.5000  12 Se 3.46
Se  0.0000  0.0000  0.5000  2 Si 2.44
Se  0.0000  0.5000  0.0000  2 Si 2.44
Se  0.5000  0.0000  0.0000  2 Si 2.44

=====

Below is a geometry-optimized SiBiSe2 structure, with properties calculated at the PBE level.

Its space group is R-3m. For the offset from the most stable computed form, the calculation gives 0 meV/atom. The calculation puts the formation energy without anion corrections at -0.54 eV/f.u. For the final energy, the calculation gives -4.2034 eV/atom.

Cell lengths 9.0618, 9.0618, 9.0618 Å; angles 23.12, 23.12, 23.12 degrees
Closest atoms and distances in Å follow each position.
Element x y z (fractional)
Si  0.0000  0.0000  0.0000  6 Se 2.54
Bi  0.5000  0.5000  0.5000  2 Se 2.97
Se  0.3878  0.3878  0.3878  3 Si 2.54
Se  0.6122  0.6122  0.6122  3 Si 2.54